(1)
This record from Alexandria describes an optimized crystal structure of LiFe. The functional is PBE-GGA.

Structure (POSCAR):
```
LiFe
1.0
3.397 0.000 0.000
0.000 3.397 0.000
0.000 0.000 4.325
Fe Li
2 2
direct
0.750 0.250 0.000
0.250 0.750 0.000
0.750 0.750 0.500
0.250 0.250 0.500
```

=====

(2)
This record from Alexandria describes an optimized crystal structure of NiSn4Pd2. The functional is PBE-GGA.

Structure (POSCAR):
```
NiSn4Pd2
1.0
-3.163 -0.052 1.889
1.848 -0.630 6.583
1.877 5.629 3.154
Ni Sn Pd
1 4 2
direct
0.000 0.000 0.000
0.910 0.186 0.561
0.371 0.260 0.047
0.629 0.740 0.953
0.090 0.814 0.439
0.746 0.502 0.708
0.254 0.498 0.292
```

=====

(3)
This record from Alexandria describes an optimized crystal structure of SiOs2I2. The functional is PBE-GGA.

Properties
formation energy (no corrections) = 8.47 eV/f.u.
relative energy among the computed polymorphs = 370 meV/atom

Structure (POSCAR):
```
SiOs2I2
1.0
8.419 0.000 0.000
0.000 8.419 0.000
0.000 0.000 3.159
Os I Si
4 4 2
direct
0.099 0.599 0.500
0.599 0.901 0.500
0.401 0.099 0.500
0.901 0.401 0.500
0.217 0.283 0.000
0.283 0.783 0.000
0.717 0.217 0.000
0.783 0.717 0.000
0.000 0.000 0.000
0.500 0.500 0.000
```

=====

| no. | V (A^3/atom) | DFT total energy (eV/atom) |
| --- | --- | --- |
| 1 | 12.5 | -4.858 |
| 2 | 20.7 | -4.936 |
| 3 | 22.4 | -4.503 |